Entry 1:
An optimized crystal structure of DyLu2Fe2Co7. Source: OQMD, functional PBE-GGA.

a = 8.3940 Å, b = 8.3940 Å, c = 8.3940 Å
α = 34.67°, β = 34.67°, γ = 34.67°
Closest atoms and distances in Å follow each position.
Fractional coordinates of all 12 atoms:
Dy: 0.0000 0.0000 0.0000  6 Fe 2.89, 12 Co 3.18
Lu: 0.1411 0.1411 0.1411  12 Co 2.85-2.95, 3 Lu 3.13
Lu: 0.8589 0.8589 0.8589  12 Co 2.85-2.95, 3 Lu 3.13
Fe: 0.3350 0.3350 0.3350  6 Co 2.42-2.46
Fe: 0.6650 0.6650 0.6650  6 Co 2.42-2.46
Co: 0.0785 0.5853 0.5853  2 Fe 2.42-2.46, 5 Co 2.46-2.54
Co: 0.4147 0.4147 0.9215  2 Fe 2.42-2.46, 5 Co 2.46-2.54
Co: 0.4147 0.9215 0.4147  2 Fe 2.42-2.46, 5 Co 2.46-2.54
Co: 0.5000 0.5000 0.5000  6 Co 2.46
Co: 0.5853 0.0785 0.5853  2 Fe 2.42-2.46, 5 Co 2.46-2.54
Co: 0.5853 0.5853 0.0785  2 Fe 2.42-2.46, 5 Co 2.46-2.54
Co: 0.9215 0.4147 0.4147  2 Fe 2.42-2.46, 5 Co 2.46-2.54

Computed properties:
The calculation puts the magnetization at 12.8 μB per formula unit. The total energy comes out at -82.735 eV per formula unit. As for the space-group type: No. 166.


Entry 2:
An optimized crystal structure of ZrBe2Pt2. Source: OQMD, functional PBE-GGA.

a = 7.0703 Å, b = 7.0703 Å, c = 2.7485 Å
α = 90.00°, β = 90.00°, γ = 90.00°
Closest atoms and distances in Å follow each position.
Fractional coordinates of all 10 atoms:
Zr: 0.0000 0.0000 0.0000  2 Zr 2.75, 4 Be 2.84, 8 Pt 2.95
Zr: 0.5000 0.5000 0.0000  2 Zr 2.75, 4 Be 2.84, 8 Pt 2.95
Be: 0.1148 0.3852 0.0000  1 Be 2.30, 6 Pt 2.50-2.52
Be: 0.3852 0.8852 0.0000  1 Be 2.30, 6 Pt 2.50-2.52
Be: 0.6148 0.1148 0.0000  1 Be 2.30, 6 Pt 2.50-2.52
Be: 0.8852 0.6148 0.0000  1 Be 2.30, 6 Pt 2.50-2.52
Pt: 0.1745 0.6745 0.5000  6 Be 2.50-2.52, 2 Pt 2.75
Pt: 0.3255 0.1745 0.5000  6 Be 2.50-2.52, 2 Pt 2.75
Pt: 0.6745 0.8255 0.5000  6 Be 2.50-2.52, 2 Pt 2.75
Pt: 0.8255 0.3255 0.5000  6 Be 2.50-2.52, 2 Pt 2.75

Computed properties:
The calculation puts the magnetization at 0.0 μB per formula unit. As for the space-group type: No. 127. As for the energy above the most stable polymorph in this dataset: 0 meV per atom.


Entry 3:
An optimized crystal structure of ZrNb. Source: OQMD, functional PBE-GGA.

a = 5.0851 Å, b = 5.7646 Å, c = 5.6265 Å
α = 90.00°, β = 90.00°, γ = 90.00°
Closest atoms and distances in Å follow each position.
Fractional coordinates of all 8 atoms:
Zr: 0.0000 0.0000 0.0000  6 Nb 2.88-3.21, 6 Zr 2.97-3.21
Zr: 0.0000 0.2564 0.4926  3 Zr 2.81-3.14, 3 Nb 2.94-3.14
Zr: 0.0000 0.7436 0.4926  3 Zr 2.81-3.14, 3 Nb 2.94-3.14
Zr: 0.5000 0.0000 0.7276  6 Nb 2.88-3.19, 6 Zr 2.97-3.22
Nb: 0.0000 0.5000 0.9940  6 Zr 2.88-3.15, 6 Nb 2.94-3.19
Nb: 0.5000 0.2575 0.2295  3 Nb 2.80-3.13, 2 Zr 2.94
Nb: 0.5000 0.5000 0.7321  6 Zr 2.88-3.20, 6 Nb 2.94-3.15
Nb: 0.5000 0.7425 0.2295  3 Nb 2.80-3.13, 2 Zr 2.94

Computed properties:
The calculation puts the magnetization at 0.0 μB per formula unit. The total energy comes out at -18.265 eV per formula unit. As for the space-group type: No. 25.


Entry 4:
An optimized crystal structure of Cs2BeAu2. Source: OQMD, functional PBE-GGA.

a = 18.2046 Å, b = 18.2046 Å, c = 18.2046 Å
α = 164.71°, β = 164.71°, γ = 21.69°
Closest atoms and distances in Å follow each position.
Fractional coordinates of all 10 atoms:
Cs: 0.0000 0.5000 0.5000  4 Cs 3.43, 4 Au 3.46
Cs: 0.1669 0.1669 0.0000  1 Be 3.27, 1 Au 3.50
Cs: 0.5000 0.0000 0.5000  4 Cs 3.43, 4 Au 3.46
Cs: 0.8331 0.8331 0.0000  1 Be 3.27, 1 Au 3.50
Be: 0.2584 0.2584 0.0000  4 Au 2.44
Be: 0.7416 0.7416 0.0000  4 Au 2.44
Au: 0.0691 0.0691 0.0000  5 Cs 3.46-3.50
Au: 0.2500 0.7500 0.5000  4 Be 2.44
Au: 0.7500 0.2500 0.5000  4 Be 2.44
Au: 0.9309 0.9309 0.0000  5 Cs 3.46-3.50

Computed properties:
The total energy comes out at -11.627 eV per formula unit. As for the space-group type: No. 139.